DFT (GGA-PBE) results for a relaxed Ac2Pd2Pb crystal.

POSCAR file:
```
Ac2Pd2Pb
1.0
8.216 0.000 0.000
0.000 8.216 0.000
0.000 0.000 4.130
Ac Pd Pb
4 4 2
direct
0.177 0.323 0.000
0.323 0.823 0.000
0.677 0.177 0.000
0.823 0.677 0.000
0.123 0.623 0.500
0.377 0.123 0.500
0.623 0.877 0.500
0.877 0.377 0.500
0.000 0.000 0.500
0.500 0.500 0.500
```

Output
* energy of formation from the pure elements: -0.79 eV per atom
* SG: P4/mbm

DFT (GGA-PBE) results for a relaxed AcDy2Th crystal.

POSCAR file:
```
AcDy2Th
1.0
3.674 0.000 0.000
-1.837 3.182 0.000
0.000 0.000 35.503
Ac Dy Th
3 6 3
direct
0.000 0.000 0.000
0.333 0.667 0.667
0.667 0.333 0.333
0.000 0.000 0.245
0.000 0.000 0.422
0.333 0.667 0.089
0.333 0.667 0.912
0.667 0.333 0.579
0.667 0.333 0.756
0.000 0.000 0.834
0.333 0.667 0.501
0.667 0.333 0.167
```

Output
* energy of formation from the pure elements: 0.06 eV per atom
* relative energy among the computed polymorphs: 19 meV/atom
* SG: R3m

DFT (GGA-PBE) results for a relaxed Li2ScMo crystal.

POSCAR file:
```
Li2ScMo
1.0
2.834 0.000 0.000
0.000 4.743 0.000
0.000 0.000 5.315
Li Sc Mo
2 1 1
direct
0.000 0.000 0.000
0.500 0.500 0.000
0.000 0.500 0.500
0.500 0.000 0.500
```

Output
* energy of formation from the pure elements: 0.36 eV per atom
* relative energy among the computed polymorphs: 129 meV/atom
* SG: Pmmm

DFT (GGA-PBE) results for a relaxed KPS2Cl crystal.

POSCAR file:
```
KPS2Cl
1.0
6.204 0.000 0.000
0.000 6.204 0.000
0.000 0.000 5.715
K P S Cl
1 1 2 1
direct
0.000 0.000 0.000
0.500 0.500 0.500
0.000 0.500 0.000
0.500 0.000 0.000
0.000 0.000 0.500
```

Output
* raw formation energy: 1.1163 eV per atom
* relative energy among the computed polymorphs: 1538 meV/atom
* SG: P4/mmm

DFT (GGA-PBE) results for a relaxed NaSr3C crystal.

POSCAR file:
```
NaSr3C
1.0
6.512 0.000 0.000
0.000 6.512 0.000
0.000 0.000 6.512
Na Sr C
1 3 1
direct
0.000 0.000 0.000
0.000 0.000 0.500
0.000 0.500 0.000
0.500 0.000 0.000
0.500 0.500 0.500
```

Output
* energy of formation from the pure elements: 1.62 eV per atom
* relative energy among the computed polymorphs: 1305 meV/atom
* SG: Pm-3m

DFT (GGA-PBE) results for a relaxed Li2TlH6 crystal.

POSCAR file:
```
Li2TlH6
1.0
0.000 3.391 3.391
3.391 0.000 3.391
3.391 3.391 0.000
Li Tl H
2 1 6
direct
0.250 0.250 0.250
0.750 0.750 0.750
0.000 0.000 0.000
0.291 0.291 0.709
0.291 0.709 0.291
0.291 0.709 0.709
0.709 0.291 0.291
0.709 0.291 0.709
0.709 0.709 0.291
```

Output
* VASP energy: -2.54 eV/atom
* SG: Fm-3m

DFT (GGA-PBE) results for a relaxed Ac6HIr2Pd crystal.

POSCAR file:
```
Ac6HIr2Pd
1.0
7.416 0.000 0.000
-3.708 6.424 0.000
0.000 -4.276 6.957
Ac H Ir Pd
6 1 2 1
direct
0.000 0.000 0.000
0.146 0.664 0.501
0.326 0.667 0.000
0.500 0.321 0.499
0.667 0.342 0.000
0.844 0.019 0.499
0.929 0.530 0.790
0.249 0.171 0.753
0.744 0.162 0.239
0.418 0.511 0.263
```

Output
* VASP energy: -5.63 eV/atom
* SG: P1

DFT (GGA-PBE) results for a relaxed In5I4Cl crystal.

POSCAR file:
```
In5I4Cl
1.0
-5.449 5.449 3.492
5.449 -5.449 3.492
5.449 5.449 -3.492
In I Cl
5 4 1
direct
0.000 0.000 0.000
0.198 0.387 0.622
0.387 0.765 0.188
0.576 0.198 0.812
0.765 0.576 0.378
0.076 0.680 0.782
0.294 0.076 0.396
0.680 0.897 0.604
0.897 0.294 0.218
0.417 0.417 0.000
```

Output
* raw formation energy: -0.5153 eV per atom
* relative energy among the computed polymorphs: 0 meV/atom
* SG: I4

DFT (GGA-PBE) results for a relaxed SnRuI2N crystal.

POSCAR file:
```
SnRuI2N
1.0
5.986 0.000 0.000
0.000 5.986 0.000
0.000 0.000 3.887
Sn Ru I N
1 1 2 1
direct
0.000 0.000 0.000
0.500 0.500 0.500
0.000 0.500 0.000
0.500 0.000 0.000
0.000 0.000 0.500
```

Output
* raw formation energy: 1.2793 eV per atom
* relative energy among the computed polymorphs: 937 meV/atom
* SG: P4/mmm

DFT (GGA-PBE) results for a relaxed Al2Fe6Ge crystal.

POSCAR file:
```
Al2Fe6Ge
1.0
-1.283 3.520 6.348
1.283 -3.520 6.348
1.283 3.520 -6.348
Al Fe Ge
2 6 1
direct
0.153 0.153 0.000
0.847 0.847 0.000
0.158 0.330 0.828
0.173 0.500 0.673
0.498 0.670 0.828
0.502 0.330 0.172
0.827 0.500 0.327
0.842 0.670 0.172
0.500 0.000 0.500
```

Output
* energy of formation from the pure elements: 0.01 eV per atom
* SG: Immm

DFT (GGA-PBE) results for a relaxed MgScTa2 crystal.

POSCAR file:
```
MgScTa2
1.0
4.000 0.000 0.000
0.000 4.000 0.000
0.000 0.000 20.651
Mg Sc Ta
4 4 8
direct
0.000 0.000 0.000
0.000 0.500 0.250
0.500 0.000 0.750
0.500 0.500 0.500
0.000 0.000 0.500
0.000 0.500 0.750
0.500 0.000 0.250
0.500 0.500 0.000
0.245 0.750 0.625
0.250 0.245 0.375
0.250 0.255 0.875
0.255 0.750 0.125
0.745 0.250 0.125
0.750 0.745 0.875
0.750 0.755 0.375
0.755 0.250 0.625
```

Output
* energy of formation from the pure elements: 0.62 eV per atom
* SG: I-42d

DFT (GGA-PBE) results for a relaxed KCdCo crystal.

POSCAR file:
```
KCdCo
1.0
3.633 0.000 0.000
0.000 3.633 0.000
0.000 0.000 12.214
K Cd Co
2 2 2
direct
0.000 0.000 0.000
0.500 0.500 0.500
0.000 0.000 0.273
0.500 0.500 0.773
0.000 0.000 0.728
0.500 0.500 0.228
```

Output
* energy of formation from the pure elements: 0.56 eV per atom
* relative energy among the computed polymorphs: 25 meV/atom
* SG: I4mm

DFT (GGA-PBE) results for a relaxed CeThZnIn crystal.

POSCAR file:
```
CeThZnIn
1.0
7.546 0.000 0.000
0.000 7.546 0.000
0.000 0.000 7.546
Ce Th Zn In
4 4 4 4
direct
0.000 0.000 0.000
0.000 0.500 0.500
0.500 0.000 0.500
0.500 0.500 0.000
0.000 0.000 0.500
0.000 0.500 0.000
0.500 0.000 0.000
0.500 0.500 0.500
0.250 0.250 0.750
0.250 0.750 0.250
0.750 0.250 0.250
0.750 0.750 0.750
0.250 0.250 0.250
0.250 0.750 0.750
0.750 0.250 0.750
0.750 0.750 0.250
```

Output
* energy of formation from the pure elements: -0.19 eV per atom
* relative energy among the computed polymorphs: 51 meV/atom
* SG: F-43m

DFT (GGA-PBE) results for a relaxed LiHo2Si4Pt3 crystal.

POSCAR file:
```
LiHo2Si4Pt3
1.0
4.117 0.000 0.000
0.000 4.117 0.000
0.000 0.000 10.120
Li Ho Si Pt
1 2 4 3
direct
0.000 0.000 0.000
0.000 0.500 0.753
0.500 0.000 0.247
0.000 0.000 0.500
0.000 0.500 0.136
0.500 0.000 0.864
0.500 0.500 0.500
0.000 0.500 0.374
0.500 0.000 0.626
0.500 0.500 0.000
```

Output
* raw formation energy: -0.9798 eV per atom
* SG: P-4m2